1.
Nd2CuGe2 after structural relaxation. Source: Alexandria, functional PBE-GGA.

Unit cell a=4.307 b=5.907 c=9.861 alpha=83.78 beta=77.38 gamma=68.62
Element x y z (fractional)
Ge (0.041, 0.328, 0.590)
Ge (0.624, 0.868, 0.883)
Cu (0.432, 0.819, 0.317)
Nd (0.293, 0.764, 0.649)
Cu (0.568, 0.181, 0.683)
Ge (0.959, 0.672, 0.410)
Nd (0.900, 0.297, 0.903)
Nd (0.707, 0.236, 0.351)
Ge (0.376, 0.132, 0.117)
Nd (0.100, 0.703, 0.097)

Computed properties:
- Energy relative to the elements: -67 kJ per mole of atoms
- Symmetry: C2/m (12)
- Density of states at the Fermi level: 3.4 states/eV/f.u.
- Electronic total energy: -0.194 hartree per atom

2.
Nd2CuGe after structural relaxation. Source: Alexandria, functional PBE-GGA.

Unit cell a=3.721 b=5.101 c=5.101 alpha=90.00 beta=90.00 gamma=90.00
Element x y z (fractional)
Ge (0.500, 0.000, 0.000)
Cu (0.500, 0.500, 0.500)
Nd (0.000, 0.000, 0.500)
Nd (0.000, 0.500, 0.000)

Computed properties:
- Energy relative to the elements: -41 kJ per mole of atoms
- Symmetry: P4/mmm (123)
- Density of states at the Fermi level: 3.7 states/eV/f.u.
- Electronic total energy: -0.183 hartree per atom

3.
Nd3Cu2Ge3 after structural relaxation. Source: Alexandria, functional PBE-GGA.

Unit cell a=4.340 b=5.843 c=14.623 alpha=90.00 beta=90.00 gamma=111.80
Each line ends with the local moment (μB).
Element x y z (fractional)
Nd (0.913, 0.827, 0.388)  0.09
Ge (0.669, 0.338, 0.750)  0.00
Nd (0.913, 0.827, 0.112)  0.09
Ge (0.384, 0.767, 0.540)  0.00
Nd (0.630, 0.260, 0.250)  0.15
Ge (0.616, 0.233, 0.040)  0.00
Ge (0.384, 0.767, 0.960)  0.00
Nd (0.370, 0.740, 0.750)  0.15
Ge (0.331, 0.662, 0.250)  0.00
Nd (0.087, 0.173, 0.888)  0.09
Cu (0.210, 0.419, 0.408)  0.01
Ge (0.616, 0.233, 0.460)  0.00
Cu (0.790, 0.581, 0.908)  0.01
Cu (0.790, 0.581, 0.592)  0.01
Nd (0.087, 0.173, 0.612)  0.09
Cu (0.210, 0.419, 0.092)  0.01

Computed properties:
- Energy relative to the elements: -63 kJ per mole of atoms
- Symmetry: Cmcm (63)
- Density of states at the Fermi level: 4.7 states/eV/f.u.
- Electronic total energy: -0.191 hartree per atom

4.
Nd2CuGe after structural relaxation. Source: Alexandria, functional PBE-GGA.

Unit cell a=4.255 b=6.087 c=8.199 alpha=110.61 beta=90.00 gamma=90.00
Element x y z (fractional)
Cu (0.250, 0.398, 0.726)
Nd (0.250, 0.787, 0.090)
Ge (0.250, 0.333, 0.205)
Nd (0.750, 0.222, 0.445)
Cu (0.750, 0.602, 0.274)
Ge (0.750, 0.667, 0.795)
Nd (0.250, 0.778, 0.555)
Nd (0.750, 0.213, 0.910)

Computed properties:
- Energy relative to the elements: -49 kJ per mole of atoms
- Symmetry: P2_1/m (11)
- Density of states at the Fermi level: 4.0 states/eV/f.u.
- Electronic total energy: -0.186 hartree per atom

5.
Nd3CuGe2 after structural relaxation. Source: Alexandria, functional PBE-GGA.

Unit cell a=4.320 b=11.839 c=11.854 alpha=90.00 beta=90.00 gamma=90.00
Each line ends with the local moment (μB).
Element x y z (fractional)
Nd (0.750, 0.625, 0.942)  0.14
Ge (0.250, 0.006, 0.310)  -0.01
Nd (0.250, 0.695, 0.209)  0.16
Nd (0.750, 0.195, 0.291)  0.16
Nd (0.250, 0.438, 0.376)  0.12
Cu (0.250, 0.369, 0.630)  0.03
Ge (0.750, 0.182, 0.024)  0.00
Nd (0.250, 0.125, 0.558)  0.14
Cu (0.750, 0.869, 0.870)  0.03
Nd (0.750, 0.875, 0.442)  0.14
Ge (0.250, 0.682, 0.476)  0.00
Nd (0.250, 0.062, 0.876)  0.12
Nd (0.250, 0.805, 0.709)  0.16
Nd (0.750, 0.305, 0.791)  0.16
Ge (0.750, 0.506, 0.190)  -0.01
Ge (0.750, 0.318, 0.524)  0.00
Ge (0.250, 0.494, 0.810)  -0.01
Nd (0.250, 0.375, 0.058)  0.14
Nd (0.750, 0.562, 0.624)  0.12
Cu (0.250, 0.131, 0.130)  0.03
Cu (0.750, 0.631, 0.370)  0.03
Ge (0.750, 0.994, 0.690)  -0.01
Ge (0.250, 0.818, 0.976)  0.00
Nd (0.750, 0.938, 0.124)  0.12

Computed properties:
- Energy relative to the elements: -64 kJ per mole of atoms
- Symmetry: Pnma (62)
- Density of states at the Fermi level: 5.2 states/eV/f.u.
- Electronic total energy: -0.194 hartree per atom

6.
Nd2CuGe6 after structural relaxation. Source: Alexandria, functional PBE-GGA.

Unit cell a=11.127 b=11.127 c=4.172 alpha=90.00 beta=90.00 gamma=158.66
Element x y z (fractional)
Cu (0.774, 0.226, 0.500)
Ge (0.715, 0.285, 0.000)
Nd (0.996, 0.004, 0.000)
Ge (0.215, 0.785, 0.500)
Ge (0.601, 0.399, 0.000)
Nd (0.331, 0.669, 0.000)
Ge (0.883, 0.117, 0.500)
Ge (0.453, 0.547, 0.500)
Ge (0.101, 0.899, 0.500)

Computed properties:
- Energy relative to the elements: -44 kJ per mole of atoms
- Symmetry: Amm2 (38)
- Density of states at the Fermi level: 1.6 states/eV/f.u.
- Electronic total energy: -0.185 hartree per atom

7.
NdCu4Ge after structural relaxation. Source: Alexandria, functional PBE-GGA.

Unit cell a=5.143 b=5.143 c=5.143 alpha=60.00 beta=60.00 gamma=60.00
Element x y z (fractional)
Cu (0.624, 0.127, 0.624)
Cu (0.624, 0.624, 0.624)
Cu (0.624, 0.624, 0.127)
Cu (0.127, 0.624, 0.624)
Ge (0.250, 0.250, 0.250)
Nd (0.000, 0.000, 0.000)

Computed properties:
- Energy relative to the elements: -13 kJ per mole of atoms
- Symmetry: F-43m (216)
- Density of states at the Fermi level: 3.9 states/eV/f.u.
- Electronic total energy: -0.163 hartree per atom

8.
NdCu3Ge2 after structural relaxation. Source: Alexandria, functional PBE-GGA.

Unit cell a=4.068 b=7.906 c=7.283 alpha=114.39 beta=90.00 gamma=104.91
Element x y z (fractional)
Ge (0.193, 0.386, 0.690)
Nd (0.149, 0.298, 0.072)
Ge (0.478, 0.956, 0.814)
Ge (0.807, 0.614, 0.310)
Nd (0.851, 0.702, 0.928)
Cu (0.688, 0.377, 0.456)
Cu (0.312, 0.623, 0.544)
Cu (0.407, 0.814, 0.334)
Ge (0.522, 0.044, 0.186)
Cu (0.037, 0.074, 0.378)
Cu (0.593, 0.186, 0.666)
Cu (0.963, 0.926, 0.622)

Computed properties:
- Energy relative to the elements: -38 kJ per mole of atoms
- Symmetry: C2/m (12)
- Density of states at the Fermi level: 2.6 states/eV/f.u.
- Electronic total energy: -0.176 hartree per atom

9.
Nd4CuGe3 after structural relaxation. Source: Alexandria, functional PBE-GGA.

Unit cell a=4.360 b=4.149 c=11.178 alpha=90.00 beta=90.00 gamma=90.00
Element x y z (fractional)
Ge (0.000, 0.500, 0.583)
Nd (0.000, 0.500, 0.864)
Nd (0.000, 0.000, 0.139)
Ge (0.000, 0.000, 0.421)
Nd (0.500, 0.000, 0.640)
Ge (0.500, 0.000, 0.926)
Cu (0.500, 0.500, 0.065)
Nd (0.500, 0.500, 0.361)

Computed properties:
- Energy relative to the elements: -65 kJ per mole of atoms
- Symmetry: Pmm2 (25)
- Density of states at the Fermi level: 6.7 states/eV/f.u.
- Electronic total energy: -0.195 hartree per atom

10.
Nd2CuGe after structural relaxation. Source: Alexandria, functional PBE-GGA.

Unit cell a=4.546 b=4.546 c=6.600 alpha=69.85 beta=69.85 gamma=60.00
Element x y z (fractional)
Nd (0.249, 0.249, 0.252)
Nd (0.751, 0.751, 0.748)
Cu (0.500, 0.500, 0.500)
Ge (0.000, 0.000, 0.000)

Computed properties:
- Energy relative to the elements: -33 kJ per mole of atoms
- Symmetry: R-3m (166)
- Density of states at the Fermi level: 4.4 states/eV/f.u.
- Electronic total energy: -0.180 hartree per atom

11.
NdCu6Ge2 after structural relaxation. Source: Alexandria, functional PBE-GGA.

Unit cell a=4.156 b=4.156 c=7.975 alpha=90.00 beta=90.00 gamma=90.00
Element x y z (fractional)
Ge (0.500, 0.500, 0.841)
Cu (0.000, 0.500, 0.321)
Cu (0.000, 0.000, 0.500)
Cu (0.500, 0.000, 0.679)
Cu (0.000, 0.500, 0.679)
Cu (0.500, 0.500, 0.500)
Ge (0.500, 0.500, 0.159)
Nd (0.000, 0.000, 0.000)
Cu (0.500, 0.000, 0.321)

Computed properties:
- Energy relative to the elements: -24 kJ per mole of atoms
- Symmetry: P4/mmm (123)
- Density of states at the Fermi level: 4.5 states/eV/f.u.
- Electronic total energy: -0.167 hartree per atom

12.
Nd3Cu4Ge4 after structural relaxation. Source: Alexandria, functional PBE-GGA.

Unit cell a=4.330 b=6.757 c=8.223 alpha=114.25 beta=105.29 gamma=90.00
Element x y z (fractional)
Cu (0.335, 0.519, 0.668)
Ge (0.500, 0.189, 0.000)
Cu (0.665, 0.481, 0.332)
Cu (0.665, 0.851, 0.332)
Cu (0.335, 0.149, 0.668)
Ge (0.500, 0.811, 0.000)
Nd (0.132, 0.132, 0.265)
Nd (0.000, 0.500, 0.000)
Ge (0.784, 0.283, 0.567)
Ge (0.216, 0.717, 0.433)
Nd (0.868, 0.868, 0.735)

Computed properties:
- Energy relative to the elements: -58 kJ per mole of atoms
- Symmetry: C2/m (12)
- Density of states at the Fermi level: 2.7 states/eV/f.u.
- Electronic total energy: -0.186 hartree per atom